[1]
# HfTaAs3

HfTaAs3 after structural relaxation (PBE-GGA, the Alexandria database).

The value obtained for the relative energy among the computed polymorphs is 0.00 eV per formula unit. The calculation puts the total magnetic moment at 0.000 μB per formula unit.

The structure belongs to space group Pm-3m (No. 221); the cell edges are 4.931, 4.931 and 4.931 Å and the angles 90.00°, 90.00° and 90.00°. The distinct sites, in fractional coordinates, are Hf at (0.000, 0.000, 0.000), Ta at (0.500, 0.500, 0.500) and As at (0.000, 0.500, 0.500).

[2]
# Hf2TaAs

Hf2TaAs after structural relaxation (PBE-GGA, the Alexandria database).

The calculation puts the uncorrected energy at -8.859 eV/atom. The calculation puts the total magnetic moment at 0.000 μB per formula unit.

The structure belongs to space group R-3m (No. 166, hexagonal axes); the cell edges are 3.3107, 3.3107 and 27.1489 Å and the angles 90.00°, 90.00° and 120.00°. The distinct sites, in fractional coordinates, are Hf at (0.0000, 0.0000, 0.1000), Ta at (0.0000, 0.0000, 0.0000) and As at (0.0000, 0.0000, 0.5000).

[3]
# HfTa2As2

HfTa2As2 after structural relaxation (PBE-GGA, the Alexandria database).

The calculation puts the uncorrected energy at -8.988 eV/atom. The calculation puts the total magnetic moment at 0.000 μB per formula unit.

The structure belongs to space group P4/mbm (No. 127); the cell edges are 7.194, 7.194 and 3.409 Å and the angles 90.00°, 90.00° and 90.00°. The distinct sites, in fractional coordinates, are Hf at (0.000, 0.000, 0.000), Ta at (0.147, 0.353, 0.500) and As at (0.148, 0.648, 0.000).

[4]
# Hf2TaAs

Hf2TaAs after structural relaxation (PBE-GGA, the Alexandria database).

The calculation puts the uncorrected energy at -8.915 eV/atom. The calculation puts the total magnetic moment at 0.000 μB per formula unit.

The structure belongs to space group I-42d (No. 122); the cell edges are 7.869, 7.869 and 5.394 Å and the angles 90.00°, 90.00° and 90.00°. The distinct sites, in fractional coordinates, are Hf at (0.208, 0.250, 0.125), Ta at (0.000, 0.000, 0.500) and As at (0.000, 0.000, 0.000).

[5]
# Hf2TaAs2

Hf2TaAs2 after structural relaxation (PBE-GGA, the Alexandria database).

The value obtained for the relative energy among the computed polymorphs is 0.62 eV per formula unit. The calculation puts the total magnetic moment at 0.000 μB per formula unit.

The structure belongs to space group Ibam (No. 72); the cell edges are 7.234, 9.995 and 5.375 Å and the angles 90.00°, 90.00° and 90.00°. The distinct sites, in fractional coordinates, are Hf at (0.140, 0.176, 0.000), Ta at (0.000, 0.500, 0.250) and As at (0.204, 0.092, 0.500).

[6]
# HfTaAs3

HfTaAs3 after structural relaxation (PBE-GGA, the Alexandria database).

The value obtained for the relative energy among the computed polymorphs is 2.38 eV per formula unit. The calculation puts the total magnetic moment at 0.000 μB per formula unit.

The structure belongs to space group Pm-3m (No. 221); the cell edges are 5.007, 5.007 and 5.007 Å and the angles 90.00°, 90.00° and 90.00°. The distinct sites, in fractional coordinates, are Hf at (0.000, 0.000, 0.000), Ta at (0.500, 0.500, 0.500) and As at (0.000, 0.000, 0.500).

> total magnetic moment of number 4 (Hf2TaAs)?

0.000 μB per formula unit